(1)
A plane-wave DFT calculation with SCAN was carried out for a PBEsol-optimized structure of TiMnI2N.

Structure (extended XYZ):
```
5
Lattice="-0.665 -1.721 2.963 5.152 -1.243 0.434 0.841 4.456 2.777" Properties=species:S:1:pos:R:3 pbc="T T T"
Mn 0.000 0.000 0.000
N -0.332 -0.861 1.482
I 2.576 -0.621 0.217
I 0.421 2.228 1.389
Ti 2.664 0.746 3.087
```

formation energy (no corrections) = 242 meV per atom

(2)
A plane-wave DFT calculation with SCAN was carried out for a PBEsol-optimized structure of MnTlI2N.

Structure (extended XYZ):
```
5
Lattice="3.611 0.000 0.000 0.000 5.803 0.000 0.000 0.000 5.803" Properties=species:S:1:pos:R:3 pbc="T T T"
Mn 0.000 0.000 0.000
Tl 1.805 2.902 2.902
I 0.000 2.902 0.000
I 0.000 0.000 2.902
N 1.805 0.000 0.000
```

formation energy (no corrections) = -138 meV per atom

Question: What is the formula in the first record?
Answer: TiMnI2N